1.
First-principles (PBE) data for a relaxed structure of CeUSi2, as listed in Alexandria via LeMat-Bulk. Values from VASP.

Structure (Quantum ESPRESSO input):
```
&SYSTEM
  ibrav = 0, nat = 4, ntyp = 3
/
ATOMIC_SPECIES
Si 28.09 Si.upf
Ce 140.12 Ce.upf
U 238.03 U.upf
ATOMIC_POSITIONS angstrom
Si 6.9494 4.0122 3.4219
Si 2.3165 1.3374 1.2775
Ce 0.0000 0.0000 0.0000
U 4.6329 2.6748 2.3497
CELL_PARAMETERS angstrom
4.6329 0.0000 0.0000
2.3165 4.0122 0.0000
2.3165 1.3374 4.6994
```

Values from the calculation:
* excess energy over the best structure of this formula in the dataset: 0.0795 eV/atom

---

2.
First-principles (PBE) data for a relaxed structure of Ce2VSi, as listed in Alexandria via LeMat-Bulk. Values from VASP.

Structure (Quantum ESPRESSO input):
```
&SYSTEM
  ibrav = 0, nat = 4, ntyp = 3
/
ATOMIC_SPECIES
Ce 140.12 Ce.upf
Si 28.09 Si.upf
V 50.94 V.upf
ATOMIC_POSITIONS angstrom
Ce 4.4455 2.5666 7.7932
Ce 1.4818 0.8555 2.6294
Si 2.9637 1.7111 5.2113
V 0.0000 0.0000 0.0000
CELL_PARAMETERS angstrom
2.9637 0.0000 0.0000
1.4818 2.5666 0.0000
1.4818 0.8555 10.4226
```

---

3.
First-principles (PBE) data for a relaxed structure of CeVSi2W, as listed in Alexandria via LeMat-Bulk. Values from VASP.

Structure (Quantum ESPRESSO input):
```
&SYSTEM
  ibrav = 0, nat = 5, ntyp = 4
/
ATOMIC_SPECIES
W 183.84 W.upf
Si 28.09 Si.upf
Ce 140.12 Ce.upf
V 50.94 V.upf
ATOMIC_POSITIONS angstrom
W 0.0000 1.9671 2.8264
Si 0.0000 0.0000 4.4293
Ce 0.0000 0.0000 0.0000
V 1.9671 0.0000 2.8264
Si 1.9671 1.9671 1.2234
CELL_PARAMETERS angstrom
3.9342 0.0000 0.0000
0.0000 3.9342 0.0000
-1.9671 -1.9671 5.6527
```

---

no.,uncorrected formation energy (eV per atom)
1,-0.22
2,0.24
3,-0.48